Here is a relaxed structure of AcTbSb2Pd2 from Alexandria via LeMat-Bulk. Energies are from GGA-PBE.

Lattice parameters (Å, degrees): 4.6520 4.6520 8.0718 90.00 90.00 120.00
With the nearest neighbours (Å) after each atom.
Positions (direct):
Ac1 0.0000 0.0000 0.0000  6 Sb 3.43, 6 Pd 3.57
Tb1 0.0000 0.0000 0.5000  6 Pd 3.17, 6 Sb 3.29
Sb1 0.3333 0.6667 0.2652  3 Pd 2.69
Sb2 0.6667 0.3333 0.7348  3 Pd 2.69
Pd1 0.3333 0.6667 0.7079  3 Sb 2.69
Pd2 0.6667 0.3333 0.2921  3 Sb 2.69

Results
- Uncorrected energy: -33.8 eV per cell
- Space-group type: No. 164
- DOS at the Fermi energy: 0.842 states/eV per cell
- ΔE_f (raw): -1.077 eV/atom

=====

Here is a relaxed structure of Ac2TbSb3Pd4 from Alexandria via LeMat-Bulk. Energies are from GGA-PBE.

Lattice parameters (Å, degrees): 4.6361 4.6361 11.5142 90.00 90.00 90.00
With the nearest neighbours (Å) after each atom.
Positions (direct):
Ac1 0.0000 0.5000 0.2195  8 Pd 3.43-3.64, 4 Sb 3.45
Ac2 0.5000 0.0000 0.7805  8 Pd 3.43-3.64, 4 Sb 3.45
Tb1 0.0000 0.0000 0.5000  4 Pd 2.84
Sb1 0.0000 0.5000 0.8735  5 Pd 2.66-2.74
Sb2 0.5000 0.0000 0.1265  5 Pd 2.66-2.74
Sb3 0.5000 0.5000 0.5000  4 Pd 2.84
Pd1 0.0000 0.0000 0.0000  4 Sb 2.74
Pd2 0.0000 0.5000 0.6428  3 Sb 2.66-2.84, 2 Tb 2.84
Pd3 0.5000 0.0000 0.3572  3 Sb 2.66-2.84, 2 Tb 2.84
Pd4 0.5000 0.5000 0.0000  4 Sb 2.74

Results
- Uncorrected energy: -55.5 eV per cell
- Space-group type: No. 115
- DOS at the Fermi energy: 3.054 states/eV per cell
- ΔE_f (raw): -0.949 eV/atom